# 1
# TbInAsO PBE optimized geometry
data_TbInAsO
_space_group_name_H-M_alt 'P 4/n m m'
_space_group_IT_number 129
_cell_length_a 4.4596
_cell_length_b 4.4596
_cell_length_c 8.3724
_cell_angle_alpha 90.00
_cell_angle_beta 90.00
_cell_angle_gamma 90.00
loop_
_space_group_symop_operation_xyz
'x,y,z'
'-x,-y,-z'
'-y+1/2,x,z'
'y+1/2,-x,-z'
'-x+1/2,-y+1/2,z'
'x+1/2,y+1/2,-z'
'y,-x+1/2,z'
'-y,x+1/2,-z'
'x+1/2,-y,-z'
'-x+1/2,y,z'
'-y,-x,-z'
'y,x,z'
'-x,y+1/2,-z'
'x,-y+1/2,z'
'y+1/2,x+1/2,-z'
'-y+1/2,-x+1/2,z'
loop_
_atom_site_label
_atom_site_type_symbol
_atom_site_fract_x
_atom_site_fract_y
_atom_site_fract_z
Tb1 Tb 0.2500 0.7500 0.0000
In1 In 0.2500 0.2500 0.4078
As1 As 0.2500 0.2500 0.7956
O1 O 0.2500 0.7500 0.5000
# Energy relative to the lowest polymorph listed for this composition   19.394 kcal/mol of atoms
# Crystal system   tetragonal



# 2
# TbInAsO PBE optimized geometry
data_TbInAsO
_space_group_name_H-M_alt 'P m c 21'
_space_group_IT_number 26
_cell_length_a 4.1072
_cell_length_b 7.7199
_cell_length_c 5.9162
_cell_angle_alpha 90.00
_cell_angle_beta 90.00
_cell_angle_gamma 90.00
loop_
_space_group_symop_operation_xyz
'x,y,z'
'-x,-y,z+1/2'
'-x,y,z'
'x,-y,z+1/2'
loop_
_atom_site_label
_atom_site_type_symbol
_atom_site_fract_x
_atom_site_fract_y
_atom_site_fract_z
Tb1 Tb 0.0000 0.1928 0.0000
In1 In 0.5000 0.3901 0.5765
As1 As 0.0000 0.1784 0.4949
O1 O 0.5000 0.3046 0.9758
# Energy relative to the lowest polymorph listed for this composition   4.197 kcal/mol of atoms
# Crystal system   orthorhombic



# 3
# TbInAsO PBE optimized geometry
data_TbInAsO
_space_group_name_H-M_alt 'P 4/n m m'
_space_group_IT_number 129
_cell_length_a 4.0969
_cell_length_b 4.0969
_cell_length_c 9.7894
_cell_angle_alpha 90.00
_cell_angle_beta 90.00
_cell_angle_gamma 90.00
loop_
_space_group_symop_operation_xyz
'x,y,z'
'-x,-y,-z'
'-y+1/2,x,z'
'y+1/2,-x,-z'
'-x+1/2,-y+1/2,z'
'x+1/2,y+1/2,-z'
'y,-x+1/2,z'
'-y,x+1/2,-z'
'x+1/2,-y,-z'
'-x+1/2,y,z'
'-y,-x,-z'
'y,x,z'
'-x,y+1/2,-z'
'x,-y+1/2,z'
'y+1/2,x+1/2,-z'
'-y+1/2,-x+1/2,z'
loop_
_atom_site_label
_atom_site_type_symbol
_atom_site_fract_x
_atom_site_fract_y
_atom_site_fract_z
Tb1 Tb 0.2500 0.2500 0.1055
In1 In 0.2500 0.7500 0.5000
As1 As 0.2500 0.2500 0.7208
O1 O 0.2500 0.7500 0.0000
# Energy relative to the lowest polymorph listed for this composition   0.000 kcal/mol of atoms
# Crystal system   tetragonal



# 4
# InTcAsO PBE optimized geometry
data_InTcAsO
_space_group_name_H-M_alt 'P m c 21'
_space_group_IT_number 26
_cell_length_a 3.0890
_cell_length_b 7.9474
_cell_length_c 5.7815
_cell_angle_alpha 90.00
_cell_angle_beta 90.00
_cell_angle_gamma 90.00
loop_
_space_group_symop_operation_xyz
'x,y,z'
'-x,-y,z+1/2'
'-x,y,z'
'x,-y,z+1/2'
loop_
_atom_site_label
_atom_site_type_symbol
_atom_site_fract_x
_atom_site_fract_y
_atom_site_fract_z
In1 In 0.0000 0.1020 0.0000
Tc1 Tc 0.5000 0.4910 0.6879
As1 As 0.0000 0.3173 0.4390
O1 O 0.5000 0.3181 0.9459
# Energy relative to the lowest polymorph listed for this composition   0.000 kcal/mol of atoms
# Crystal system   orthorhombic



# 5
# InTcAsO PBE optimized geometry
data_InTcAsO
_space_group_name_H-M_alt 'P 4/n m m'
_space_group_IT_number 129
_cell_length_a 4.0075
_cell_length_b 4.0075
_cell_length_c 7.8667
_cell_angle_alpha 90.00
_cell_angle_beta 90.00
_cell_angle_gamma 90.00
loop_
_space_group_symop_operation_xyz
'x,y,z'
'-x,-y,-z'
'-y+1/2,x,z'
'y+1/2,-x,-z'
'-x+1/2,-y+1/2,z'
'x+1/2,y+1/2,-z'
'y,-x+1/2,z'
'-y,x+1/2,-z'
'x+1/2,-y,-z'
'-x+1/2,y,z'
'-y,-x,-z'
'y,x,z'
'-x,y+1/2,-z'
'x,-y+1/2,z'
'y+1/2,x+1/2,-z'
'-y+1/2,-x+1/2,z'
loop_
_atom_site_label
_atom_site_type_symbol
_atom_site_fract_x
_atom_site_fract_y
_atom_site_fract_z
In1 In 0.2500 0.2500 0.1287
Tc1 Tc 0.2500 0.7500 0.5000
As1 As 0.2500 0.2500 0.6930
O1 O 0.2500 0.7500 0.0000
# Energy relative to the lowest polymorph listed for this composition   0.318 kcal/mol of atoms
# Crystal system   tetragonal



# 6
# InTcAsO PBE optimized geometry
data_InTcAsO
_space_group_name_H-M_alt 'P m c 21'
_space_group_IT_number 26
_cell_length_a 3.7406
_cell_length_b 6.9088
_cell_length_c 6.5053
_cell_angle_alpha 90.00
_cell_angle_beta 90.00
_cell_angle_gamma 90.00
loop_
_space_group_symop_operation_xyz
'x,y,z'
'-x,-y,z+1/2'
'-x,y,z'
'x,-y,z+1/2'
loop_
_atom_site_label
_atom_site_type_symbol
_atom_site_fract_x
_atom_site_fract_y
_atom_site_fract_z
In1 In 0.0000 0.1360 0.0000
Tc1 Tc 0.5000 0.2863 0.4193
As1 As 0.5000 0.3938 0.7727
O1 O 0.0000 0.2670 0.4090
# Energy relative to the lowest polymorph listed for this composition   5.767 kcal/mol of atoms
# Crystal system   orthorhombic



# 7
# InTcAsO PBE optimized geometry
data_InTcAsO
_space_group_name_H-M_alt 'P 4/n m m'
_space_group_IT_number 129
_cell_length_a 4.1420
_cell_length_b 4.1420
_cell_length_c 9.5446
_cell_angle_alpha 90.00
_cell_angle_beta 90.00
_cell_angle_gamma 90.00
loop_
_space_group_symop_operation_xyz
'x,y,z'
'-x,-y,-z'
'-y+1/2,x,z'
'y+1/2,-x,-z'
'-x+1/2,-y+1/2,z'
'x+1/2,y+1/2,-z'
'y,-x+1/2,z'
'-y,x+1/2,-z'
'x+1/2,-y,-z'
'-x+1/2,y,z'
'-y,-x,-z'
'y,x,z'
'-x,y+1/2,-z'
'x,-y+1/2,z'
'y+1/2,x+1/2,-z'
'-y+1/2,-x+1/2,z'
loop_
_atom_site_label
_atom_site_type_symbol
_atom_site_fract_x
_atom_site_fract_y
_atom_site_fract_z
In1 In 0.2500 0.7500 0.0000
Tc1 Tc 0.2500 0.2500 0.4590
As1 As 0.2500 0.2500 0.2203
O1 O 0.2500 0.7500 0.5000
# Energy relative to the lowest polymorph listed for this composition   9.057 kcal/mol of atoms
# Crystal system   tetragonal



# 8
# PaInAs PBE optimized geometry
data_PaInAs
_space_group_name_H-M_alt 'F -4 3 m'
_space_group_IT_number 216
_space_group_name_Hall 'F -4 2 3'
_cell_length_a 6.9754
_cell_length_b 6.9754
_cell_length_c 6.9754
_cell_angle_alpha 90.00
_cell_angle_beta 90.00
_cell_angle_gamma 90.00
loop_
_atom_site_label
_atom_site_type_symbol
_atom_site_fract_x
_atom_site_fract_y
_atom_site_fract_z
Pa1 Pa 0.0000 0.0000 0.0000
In1 In 0.2500 0.2500 0.7500
As1 As 0.0000 0.0000 0.5000
# Crystal system   cubic



# 9
# InAs5Pd3 PBE optimized geometry
data_InAs5Pd3
_space_group_name_H-M_alt 'P 6/m m m'
_space_group_IT_number 191
_space_group_name_Hall '-P 6 2'
_cell_length_a 5.4805
_cell_length_b 5.4805
_cell_length_c 7.1378
_cell_angle_alpha 90.00
_cell_angle_beta 90.00
_cell_angle_gamma 120.00
loop_
_atom_site_label
_atom_site_type_symbol
_atom_site_fract_x
_atom_site_fract_y
_atom_site_fract_z
In1 In 0.0000 0.0000 0.0000
As1 As 0.0000 0.0000 0.5000
As2 As 0.3333 0.6667 0.2107
Pd1 Pd 0.0000 0.5000 0.5000
# Crystal system   hexagonal



# 10
# InAsPd5 PBE optimized geometry
data_InAsPd5
_space_group_name_H-M_alt 'P 4/m m m'
_space_group_IT_number 123
_space_group_name_Hall '-P 4 2'
_cell_length_a 4.0363
_cell_length_b 4.0363
_cell_length_c 7.0856
_cell_angle_alpha 90.00
_cell_angle_beta 90.00
_cell_angle_gamma 90.00
loop_
_atom_site_label
_atom_site_type_symbol
_atom_site_fract_x
_atom_site_fract_y
_atom_site_fract_z
In1 In 0.0000 0.0000 0.0000
As1 As 0.5000 0.5000 0.5000
Pd1 Pd 0.0000 0.5000 0.2884
Pd2 Pd 0.5000 0.5000 0.0000
# Crystal system   tetragonal



# 11
# InAsPt5 PBE optimized geometry
data_InAsPt5
_space_group_name_H-M_alt 'P 4/m m m'
_space_group_IT_number 123
_space_group_name_Hall '-P 4 2'
_cell_length_a 4.0507
_cell_length_b 4.0507
_cell_length_c 7.1476
_cell_angle_alpha 90.00
_cell_angle_beta 90.00
_cell_angle_gamma 90.00
loop_
_atom_site_label
_atom_site_type_symbol
_atom_site_fract_x
_atom_site_fract_y
_atom_site_fract_z
In1 In 0.0000 0.0000 0.0000
As1 As 0.5000 0.5000 0.5000
Pt1 Pt 0.0000 0.5000 0.2861
Pt2 Pt 0.5000 0.5000 0.0000
# Crystal system   tetragonal



# 12
# PuInAs PBE optimized geometry
data_PuInAs
_space_group_name_H-M_alt 'F -4 3 m'
_space_group_IT_number 216
_space_group_name_Hall 'F -4 2 3'
_cell_length_a 6.9734
_cell_length_b 6.9734
_cell_length_c 6.9734
_cell_angle_alpha 90.00
_cell_angle_beta 90.00
_cell_angle_gamma 90.00
loop_
_atom_site_label
_atom_site_type_symbol
_atom_site_fract_x
_atom_site_fract_y
_atom_site_fract_z
Pu1 Pu 0.0000 0.0000 0.0000
In1 In 0.2500 0.2500 0.7500
As1 As 0.0000 0.0000 0.5000
# Energy relative to the lowest polymorph listed for this composition   4.922 kcal/mol of atoms
# Crystal system   cubic



# 13
# PuInAs PBE optimized geometry
data_PuInAs
_space_group_name_H-M_alt 'F -4 3 m'
_space_group_IT_number 216
_space_group_name_Hall 'F -4 2 3'
_cell_length_a 6.9220
_cell_length_b 6.9220
_cell_length_c 6.9220
_cell_angle_alpha 90.00
_cell_angle_beta 90.00
_cell_angle_gamma 90.00
loop_
_atom_site_label
_atom_site_type_symbol
_atom_site_fract_x
_atom_site_fract_y
_atom_site_fract_z
Pu1 Pu 0.0000 0.0000 0.0000
In1 In 0.2500 0.2500 0.2500
As1 As 0.2500 0.2500 0.7500
# Energy relative to the lowest polymorph listed for this composition   0.000 kcal/mol of atoms
# Crystal system   cubic



# 14
# InRe3As5 PBE optimized geometry
data_InRe3As5
_space_group_name_H-M_alt 'P 6/m m m'
_space_group_IT_number 191
_space_group_name_Hall '-P 6 2'
_cell_length_a 5.3581
_cell_length_b 5.3581
_cell_length_c 7.6353
_cell_angle_alpha 90.00
_cell_angle_beta 90.00
_cell_angle_gamma 120.00
loop_
_atom_site_label
_atom_site_type_symbol
_atom_site_fract_x
_atom_site_fract_y
_atom_site_fract_z
In1 In 0.0000 0.0000 0.0000
Re1 Re 0.0000 0.5000 0.5000
As1 As 0.0000 0.0000 0.5000
As2 As 0.3333 0.6667 0.2211
# Crystal system   hexagonal



# 15
# TaInAs PBE optimized geometry
data_TaInAs
_space_group_name_H-M_alt 'F -4 3 m'
_space_group_IT_number 216
_space_group_name_Hall 'F -4 2 3'
_cell_length_a 6.3921
_cell_length_b 6.3921
_cell_length_c 6.3921
_cell_angle_alpha 90.00
_cell_angle_beta 90.00
_cell_angle_gamma 90.00
loop_
_atom_site_label
_atom_site_type_symbol
_atom_site_fract_x
_atom_site_fract_y
_atom_site_fract_z
Ta1 Ta 0.0000 0.0000 0.0000
In1 In 0.0000 0.0000 0.5000
As1 As 0.2500 0.2500 0.7500
# Energy relative to the lowest polymorph listed for this composition   0.000 kcal/mol of atoms
# Crystal system   cubic



# 16
# InTcAs PBE optimized geometry
data_InTcAs
_space_group_name_H-M_alt 'F -4 3 m'
_space_group_IT_number 216
_space_group_name_Hall 'F -4 2 3'
_cell_length_a 6.2273
_cell_length_b 6.2273
_cell_length_c 6.2273
_cell_angle_alpha 90.00
_cell_angle_beta 90.00
_cell_angle_gamma 90.00
loop_
_atom_site_label
_atom_site_type_symbol
_atom_site_fract_x
_atom_site_fract_y
_atom_site_fract_z
In1 In 0.0000 0.0000 0.0000
Tc1 Tc 0.2500 0.2500 0.2500
As1 As 0.0000 0.0000 0.5000
# Energy relative to the lowest polymorph listed for this composition   0.000 kcal/mol of atoms
# Crystal system   cubic



# 17
# Zr4TlInAs2 PBE optimized geometry
data_Zr4TlInAs2
_space_group_name_H-M_alt 'P -6 m 2'
_space_group_IT_number 187
_space_group_name_Hall 'P -6 2'
_cell_length_a 3.6928
_cell_length_b 3.6928
_cell_length_c 15.3526
_cell_angle_alpha 90.00
_cell_angle_beta 90.00
_cell_angle_gamma 120.00
loop_
_atom_site_label
_atom_site_type_symbol
_atom_site_fract_x
_atom_site_fract_y
_atom_site_fract_z
Zr1 Zr 0.0000 0.0000 0.1476
Zr2 Zr 0.3333 0.6667 0.3505
Tl1 Tl 0.0000 0.0000 0.5000
In1 In 0.3333 0.6667 0.0000
As1 As 0.6667 0.3333 0.2493
# Crystal system   hexagonal



# 18
# UInAs PBE optimized geometry
data_UInAs
_space_group_name_H-M_alt 'F -4 3 m'
_space_group_IT_number 216
_space_group_name_Hall 'F -4 2 3'
_cell_length_a 6.7998
_cell_length_b 6.7998
_cell_length_c 6.7998
_cell_angle_alpha 90.00
_cell_angle_beta 90.00
_cell_angle_gamma 90.00
loop_
_atom_site_label
_atom_site_type_symbol
_atom_site_fract_x
_atom_site_fract_y
_atom_site_fract_z
U1 U 0.0000 0.0000 0.0000
In1 In 0.0000 0.0000 0.5000
As1 As 0.2500 0.2500 0.7500
# Crystal system   cubic



# 19
# UInAs PBE optimized geometry
data_UInAs
_space_group_name_H-M_alt 'F -4 3 m'
_space_group_IT_number 216
_space_group_name_Hall 'F -4 2 3'
_cell_length_a 6.9547
_cell_length_b 6.9547
_cell_length_c 6.9547
_cell_angle_alpha 90.00
_cell_angle_beta 90.00
_cell_angle_gamma 90.00
loop_
_atom_site_label
_atom_site_type_symbol
_atom_site_fract_x
_atom_site_fract_y
_atom_site_fract_z
U1 U 0.0000 0.0000 0.0000
In1 In 0.2500 0.2500 0.7500
As1 As 0.2500 0.2500 0.2500
# Crystal system   cubic



# 20
# InAs5W3 PBE optimized geometry
data_InAs5W3
_space_group_name_H-M_alt 'P 6/m m m'
_space_group_IT_number 191
_space_group_name_Hall '-P 6 2'
_cell_length_a 5.4083
_cell_length_b 5.4083
_cell_length_c 7.8380
_cell_angle_alpha 90.00
_cell_angle_beta 90.00
_cell_angle_gamma 120.00
loop_
_atom_site_label
_atom_site_type_symbol
_atom_site_fract_x
_atom_site_fract_y
_atom_site_fract_z
In1 In 0.0000 0.0000 0.0000
As1 As 0.0000 0.0000 0.5000
As2 As 0.3333 0.6667 0.2252
W1 W 0.0000 0.5000 0.5000
# Crystal system   hexagonal



# 21
# Zn4InAs3 PBE optimized geometry
data_Zn4InAs3
_space_group_name_H-M_alt 'R -3 m'
_space_group_IT_number 166
_space_group_name_Hall '-R 3 2"'
_cell_length_a 4.1955
_cell_length_b 4.1955
_cell_length_c 34.4351
_cell_angle_alpha 90.00
_cell_angle_beta 90.00
_cell_angle_gamma 120.00
loop_
_atom_site_label
_atom_site_type_symbol
_atom_site_fract_x
_atom_site_fract_y
_atom_site_fract_z
Zn1 Zn 0.0000 0.0000 0.0853
Zn2 Zn 0.0000 0.0000 0.3030
In1 In 0.0000 0.0000 0.5000
As1 As 0.0000 0.0000 0.0000
As2 As 0.0000 0.0000 0.2305
# Crystal system   trigonal



# 22
# ZrIn2As PBE optimized geometry
data_ZrIn2As
_space_group_name_H-M_alt 'F -4 3 m'
_space_group_IT_number 216
_space_group_name_Hall 'F -4 2 3'
_cell_length_a 7.0956
_cell_length_b 7.0956
_cell_length_c 7.0956
_cell_angle_alpha 90.00
_cell_angle_beta 90.00
_cell_angle_gamma 90.00
loop_
_atom_site_label
_atom_site_type_symbol
_atom_site_fract_x
_atom_site_fract_y
_atom_site_fract_z
Zr1 Zr 0.0000 0.0000 0.0000
In1 In 0.0000 0.0000 0.5000
In2 In 0.2500 0.2500 0.2500
As1 As 0.2500 0.2500 0.7500
# Crystal system   cubic



# 23
# Zr3InAs5 PBE optimized geometry
data_Zr3InAs5
_space_group_name_H-M_alt 'P 6/m m m'
_space_group_IT_number 191
_space_group_name_Hall '-P 6 2'
_cell_length_a 6.2063
_cell_length_b 6.2063
_cell_length_c 6.4240
_cell_angle_alpha 90.00
_cell_angle_beta 90.00
_cell_angle_gamma 120.00
loop_
_atom_site_label
_atom_site_type_symbol
_atom_site_fract_x
_atom_site_fract_y
_atom_site_fract_z
Zr1 Zr 0.0000 0.5000 0.0000
In1 In 0.0000 0.0000 0.5000
As1 As 0.0000 0.0000 0.0000
As2 As 0.3333 0.6667 0.3118
# Crystal system   hexagonal



In order of appearance, density = 7.3; 6.5; 7.4; 7.1; 8.0; 6.0; 6.2; 8.2; 7.2; 10.4; 16.5; 8.5; 8.7; 9.2; 9.4; 7.9; 7.6; 9.0; 8.4; 8.7; 5.7; 7.4; 5.9 Mg/m³.
In order of appearance, energy = -4.90; -5.56; -5.74; -6.15; -6.14; -5.90; -5.76; -5.15; -4.58; -5.25; -5.73; -7.15; -7.36; -6.67; -5.82; -5.55; -6.72; -6.08; -5.98; -6.99; -2.81; -4.62; -6.15 eV/atom.